1 | {"formula": "KRe2Mo", "functional": "PBE-GGA", "state": "relaxed", "magnetic_moment_mub_per_fu": 0.0, "spacegroup": "No. 65", "crystal_system": "orthorhombic", "lattice_angstrom": [[2.7280, -0.0001, 0.0000], [-0.9694, 2.5500, 0.0000], [0.0000, 0.0000, 10.4154]], "species": ["Re", "Re", "K", "Mo"], "fractional_positions": [[0.0000, 0.0000, 0.9598], [0.0000, 0.0000, 0.5402], [0.5000, 0.5000, 0.2500], [0.5000, 0.5000, 0.7500]]}

---

2 | {"formula": "KRe2Mo", "functional": "PBE-GGA", "state": "relaxed", "magnetic_moment_mub_per_fu": 0.6, "spacegroup": "No. 65", "crystal_system": "orthorhombic", "lattice_angstrom": [[-2.1931, -5.2339, -0.4006], [3.6316, 1.4550, 4.1302], [-1.9793, 0.7154, 1.4883]], "species": ["Mo", "Re", "Re", "K"], "fractional_positions": [[0.0000, 0.5000, 0.5000], [0.5000, 0.5000, 0.0000], [0.0000, 0.0000, 0.0000], [0.5000, 0.0000, 0.5000]]}

---

3 | {"formula": "KRe2Mo", "functional": "PBE-GGA", "state": "relaxed", "magnetic_moment_mub_per_fu": 0.0, "spacegroup": "No. 123", "crystal_system": "tetragonal", "lattice_angstrom": [[3.1102, 0.0000, 0.0000], [0.0000, 3.1102, 0.0000], [0.0000, 0.0000, 8.7202]], "species": ["K", "Mo", "Re", "Re"], "fractional_positions": [[0.5000, 0.5000, 0.2500], [0.5000, 0.5000, 0.7500], [0.0000, 0.0000, 0.5842], [0.0000, 0.0000, 0.9158]]}

---

The structure with the least stability is 2.

---

1 | {"formula": "KRe2Mo", "functional": "PBE-GGA", "state": "relaxed", "magnetic_moment_mub_per_fu": 0.0, "spacegroup": "No. 10", "crystal_system": "monoclinic", "lattice_angstrom": [[4.2711, 0.0000, 0.0000], [0.0000, 2.6990, -0.0861], [0.0000, 1.2250, 7.6928]], "species": ["Re", "Re", "K", "Mo"], "fractional_positions": [[0.0000, 0.4194, 0.5976], [0.0000, 0.0806, 0.9024], [0.5000, 0.2500, 0.2500], [0.5000, 0.7500, 0.7500]]}

---

2 | {"formula": "KRe2Mo", "functional": "PBE-GGA", "state": "relaxed", "magnetic_moment_mub_per_fu": 0.0, "spacegroup": "No. 47", "crystal_system": "orthorhombic", "lattice_angstrom": [[-1.4266, 2.3042, -0.7214], [-1.6679, 0.3896, 4.5428], [3.9850, 2.8488, 1.2187]], "species": ["K", "Re", "Re", "Mo"], "fractional_positions": [[0.5000, 0.0000, 0.5000], [0.0000, 0.0000, 0.0000], [0.5000, 0.5000, 0.0000], [0.0000, 0.5000, 0.5000]]}

---

The structure with the least stability is 2.

---

1 | {"formula": "KMoRh3", "functional": "PBE-GGA", "state": "relaxed", "magnetic_moment_mub_per_fu": 0.0, "spacegroup": "No. 221", "crystal_system": "cubic", "lattice_angstrom": [[-2.5096, 0.6077, -3.7583], [-3.4561, -2.2515, 1.9438], [-1.5967, 3.9184, 1.6998]], "species": ["Rh", "Rh", "Rh", "K", "Mo"], "fractional_positions": [[0.0000, 0.0000, 0.5000], [0.0000, 0.5000, 0.0000], [0.5000, 0.0000, 0.0000], [0.0000, 0.0000, 0.0000], [0.5000, 0.5000, 0.5000]]}

---

2 | {"formula": "KMoRh3", "functional": "PBE-GGA", "state": "relaxed", "magnetic_moment_mub_per_fu": 0.0, "spacegroup": "No. 221", "crystal_system": "cubic", "lattice_angstrom": [[4.7883, 0.0000, 0.0000], [0.0000, 4.7883, 0.0000], [0.0000, 0.0000, 4.7883]], "species": ["K", "Mo", "Rh", "Rh", "Rh"], "fractional_positions": [[0.5000, 0.5000, 0.5000], [0.0000, 0.0000, 0.0000], [0.0000, 0.5000, 0.0000], [0.0000, 0.0000, 0.5000], [0.5000, 0.0000, 0.0000]]}

---

The structure with the least stability is 1.

---

1 | {"formula": "KMoRu3", "functional": "PBE-GGA", "state": "relaxed", "magnetic_moment_mub_per_fu": 0.0, "spacegroup": "No. 221", "crystal_system": "cubic", "lattice_angstrom": [[-3.7790, 2.1194, 1.0708], [0.7530, -0.8391, 4.3184], [2.2520, 3.8371, 0.3529]], "species": ["Mo", "Ru", "Ru", "Ru", "K"], "fractional_positions": [[0.5000, 0.5000, 0.5000], [0.5000, 0.0000, 0.0000], [0.0000, 0.0000, 0.5000], [0.0000, 0.5000, 0.0000], [0.0000, 0.0000, 0.0000]]}

---

2 | {"formula": "KMoRu3", "functional": "PBE-GGA", "state": "relaxed", "magnetic_moment_mub_per_fu": 2.5, "spacegroup": "No. 221", "crystal_system": "cubic", "lattice_angstrom": [[4.7936, 0.0000, 0.0000], [0.0000, 4.7936, 0.0000], [0.0000, 0.0000, 4.7936]], "species": ["Mo", "K", "Ru", "Ru", "Ru"], "fractional_positions": [[0.0000, 0.0000, 0.0000], [0.5000, 0.5000, 0.5000], [0.5000, 0.0000, 0.0000], [0.0000, 0.0000, 0.5000], [0.0000, 0.5000, 0.0000]]}

---

The structure with the least stability is 1.

---

1 | {"formula": "K2MoS2", "functional": "PBE-GGA", "state": "relaxed", "magnetic_moment_mub_per_fu": 4.0, "spacegroup": "No. 127", "crystal_system": "tetragonal", "lattice_angstrom": [[8.3997, 0.0000, 0.0000], [0.0000, 8.3997, 0.0000], [0.0000, 0.0000, 3.6138]], "species": ["K", "K", "K", "K", "S", "S", "S", "S", "Mo", "Mo"], "fractional_positions": [[0.1185, 0.3815, 0.0000], [0.6185, 0.1185, 0.0000], [0.8815, 0.6185, 0.0000], [0.3815, 0.8815, 0.0000], [0.8130, 0.3130, 0.5000], [0.1870, 0.6870, 0.5000], [0.6870, 0.8130, 0.5000], [0.3130, 0.1870, 0.5000], [0.0000, 0.0000, 0.0000], [0.5000, 0.5000, 0.0000]]}

---

2 | {"formula": "K2MoS2", "functional": "PBE-GGA", "state": "relaxed", "magnetic_moment_mub_per_fu": 4.0, "spacegroup": "No. 139", "crystal_system": "tetragonal", "lattice_angstrom": [[5.5555, 0.0000, 0.0000], [0.0000, 5.5555, 0.0000], [2.7777, 2.7777, 4.5794]], "species": ["K", "K", "S", "S", "Mo"], "fractional_positions": [[0.6509, 0.6509, 0.6982], [0.3491, 0.3491, 0.3018], [0.2500, 0.7500, 0.5000], [0.7500, 0.2500, 0.5000], [0.0000, 0.0000, 0.0000]]}

---

The structure with the least stability is 2.

---

1 | {"formula": "KMo3S", "functional": "PBE-GGA", "state": "relaxed", "magnetic_moment_mub_per_fu": 0.0, "spacegroup": "No. 221", "crystal_system": "cubic", "lattice_angstrom": [[-3.1997, -0.9214, 3.1763], [3.3063, -0.7857, 3.1028], [-0.0789, 4.4396, 1.2083]], "species": ["Mo", "Mo", "Mo", "S", "K"], "fractional_positions": [[0.0000, 0.0000, 0.5000], [0.0000, 0.5000, 0.0000], [0.5000, 0.0000, 0.0000], [0.0000, 0.0000, 0.0000], [0.5000, 0.5000, 0.5000]]}

---

2 | {"formula": "KMo3S", "functional": "PBE-GGA", "state": "relaxed", "magnetic_moment_mub_per_fu": 0.0, "spacegroup": "No. 221", "crystal_system": "cubic", "lattice_angstrom": [[-3.8303, -1.7868, -1.7140], [-1.2174, -1.3903, 4.1698], [-2.1561, 3.9594, 0.6907]], "species": ["Mo", "Mo", "Mo", "K", "S"], "fractional_positions": [[0.0000, 0.0000, 0.5000], [0.5000, 0.0000, 0.0000], [0.0000, 0.5000, 0.0000], [0.0000, 0.0000, 0.0000], [0.5000, 0.5000, 0.5000]]}

---

The structure with the least stability is 2.